--- A ---
CeH2Cl after structural relaxation, computed with GGA-PBE. Values from VASP.

Geometry as Quantum ESPRESSO input:
```
&SYSTEM
  ibrav = 0, nat = 4, ntyp = 3
/
ATOMIC_SPECIES
Cl 35.45 Cl.upf
H 1.01 H.upf
Ce 140.12 Ce.upf
ATOMIC_POSITIONS crystal
Cl 0.500 0.500 0.500
H 0.000 0.000 0.164
Ce 0.500 0.500 0.000
H 0.000 0.000 0.836
CELL_PARAMETERS angstrom
3.296 0.000 0.000
0.000 3.296 0.000
0.000 0.000 5.470
```

Summary:
Total moment   0.988 μB/f.u.
V   59.4 Å³/cell



--- B ---
CeH2Cl after structural relaxation, computed with GGA-PBE. Values from VASP.

Geometry as Quantum ESPRESSO input:
```
&SYSTEM
  ibrav = 0, nat = 8, ntyp = 3
/
ATOMIC_SPECIES
H 1.01 H.upf
Cl 35.45 Cl.upf
Ce 140.12 Ce.upf
ATOMIC_POSITIONS crystal
H 0.250 0.046 0.592
Cl 0.250 0.250 0.084
H 0.750 0.546 0.408
H 0.250 0.454 0.592
Cl 0.750 0.750 0.916
Ce 0.750 0.250 0.690
H 0.750 0.954 0.408
Ce 0.250 0.750 0.310
CELL_PARAMETERS angstrom
3.893 0.000 0.000
0.000 5.552 0.000
0.000 0.000 5.682
```

Summary:
Total moment   1.001 μB/f.u.
V   122.8 Å³/cell



Q: Which of them is the most stable? A: B.



--- A ---
CeHCl3 after structural relaxation, computed with GGA-PBE. Values from VASP.

Geometry as Quantum ESPRESSO input:
```
&SYSTEM
  ibrav = 0, nat = 20, ntyp = 3
/
ATOMIC_SPECIES
H 1.01 H.upf
Ce 140.12 Ce.upf
Cl 35.45 Cl.upf
ATOMIC_POSITIONS crystal
H 0.861 0.488 0.750
H 0.139 0.512 0.250
Ce 0.214 0.250 0.250
Cl 0.505 0.473 0.251
H 0.639 0.988 0.750
Cl 0.100 0.686 0.966
Cl 0.400 0.187 0.966
Ce 0.286 0.750 0.250
Cl 0.900 0.314 0.034
Cl 0.005 0.027 0.751
Cl 0.900 0.313 0.466
H 0.361 0.012 0.250
Cl 0.600 0.814 0.466
Cl 0.495 0.527 0.749
Cl 0.100 0.687 0.534
Cl 0.400 0.186 0.534
Ce 0.786 0.750 0.750
Ce 0.714 0.250 0.750
Cl 0.995 0.973 0.249
Cl 0.600 0.813 0.034
CELL_PARAMETERS angstrom
-4.122 4.465 -3.026
-3.410 -6.135 -4.408
-5.610 -1.154 5.946
```

Summary:
Total moment   0.000 μB/f.u.
V   464.5 Å³/cell



--- B ---
CeHCl3 after structural relaxation, computed with GGA-PBE. Values from VASP.

Geometry as Quantum ESPRESSO input:
```
&SYSTEM
  ibrav = 0, nat = 10, ntyp = 3
/
ATOMIC_SPECIES
Cl 35.45 Cl.upf
H 1.01 H.upf
Ce 140.12 Ce.upf
ATOMIC_POSITIONS crystal
Cl 0.750 0.467 0.176
H 0.250 0.582 0.380
Cl 0.250 0.127 0.109
H 0.750 0.418 0.620
Cl 0.250 0.533 0.824
Ce 0.250 0.732 0.141
Cl 0.250 0.176 0.639
Ce 0.750 0.268 0.859
Cl 0.750 0.873 0.891
Cl 0.750 0.824 0.361
CELL_PARAMETERS angstrom
4.033 0.000 0.000
0.000 7.729 -0.277
0.000 1.221 7.397
```

Summary:
Total moment   0.030 μB/f.u.
V   231.9 Å³/cell



Q: Which of them is the most stable? A: A.



--- A ---
CeHgCl3 after structural relaxation, computed with GGA-PBE. Values from VASP.

Geometry as Quantum ESPRESSO input:
```
&SYSTEM
  ibrav = 0, nat = 10, ntyp = 3
/
ATOMIC_SPECIES
Hg 200.59 Hg.upf
Cl 35.45 Cl.upf
Ce 140.12 Ce.upf
ATOMIC_POSITIONS crystal
Hg 0.840 0.840 0.479
Cl 0.946 0.325 0.157
Cl 0.325 0.572 0.157
Cl 0.675 0.428 0.843
Ce 0.667 0.667 0.998
Hg 0.160 0.160 0.521
Cl 0.054 0.675 0.843
Cl 0.572 0.946 0.157
Cl 0.428 0.054 0.843
Ce 0.333 0.333 0.002
CELL_PARAMETERS angstrom
6.769 0.000 2.952
2.741 6.189 2.952
-0.575 -0.374 10.555
```

Summary:
Total moment   1.000 μB/f.u.
V   457.1 Å³/cell



--- B ---
CeHgCl3 after structural relaxation, computed with GGA-PBE. Values from VASP.

Geometry as Quantum ESPRESSO input:
```
&SYSTEM
  ibrav = 0, nat = 5, ntyp = 3
/
ATOMIC_SPECIES
Cl 35.45 Cl.upf
Hg 200.59 Hg.upf
Ce 140.12 Ce.upf
ATOMIC_POSITIONS crystal
Cl 0.000 0.000 0.500
Hg 0.500 0.500 0.500
Ce 0.000 0.000 0.000
Cl 0.500 0.000 0.000
Cl 0.000 0.500 0.000
CELL_PARAMETERS angstrom
-3.254 2.742 -3.569
2.060 -3.008 -4.190
-4.002 -3.779 0.745
```

Summary:
Total moment   1.000 μB/f.u.
V   171.3 Å³/cell



Q: Which of them is the most stable? A: A.



--- A ---
KCeCl4 after structural relaxation, computed with GGA-PBE. Values from VASP.

Geometry as Quantum ESPRESSO input:
```
&SYSTEM
  ibrav = 0, nat = 24, ntyp = 3
/
ATOMIC_SPECIES
Cl 35.45 Cl.upf
Ce 140.12 Ce.upf
K 39.10 K.upf
ATOMIC_POSITIONS crystal
Cl 0.750 0.357 0.036
Cl 0.250 0.009 0.063
Ce 0.750 0.748 0.062
Cl 0.750 0.909 0.638
Cl 0.250 0.643 0.964
Ce 0.750 0.248 0.438
Cl 0.250 0.092 0.803
Cl 0.750 0.857 0.464
Cl 0.250 0.509 0.437
Cl 0.750 0.409 0.862
Cl 0.250 0.591 0.138
K 0.250 0.213 0.206
Ce 0.250 0.752 0.562
K 0.750 0.287 0.706
Cl 0.750 0.408 0.303
Cl 0.750 0.991 0.937
Cl 0.250 0.091 0.362
Cl 0.250 0.592 0.697
K 0.250 0.713 0.294
Cl 0.250 0.143 0.536
K 0.750 0.787 0.794
Ce 0.250 0.252 0.938
Cl 0.750 0.491 0.563
Cl 0.750 0.908 0.197
CELL_PARAMETERS angstrom
-0.336 3.025 -3.118
-4.927 -4.460 -3.797
-14.719 8.164 9.510
```

Summary:
Total moment   1.000 μB/f.u.
V   644.7 Å³/cell



--- B ---
KCeCl4 after structural relaxation, computed with GGA-PBE. Values from VASP.

Geometry as Quantum ESPRESSO input:
```
&SYSTEM
  ibrav = 0, nat = 12, ntyp = 3
/
ATOMIC_SPECIES
Cl 35.45 Cl.upf
K 39.10 K.upf
Ce 140.12 Ce.upf
ATOMIC_POSITIONS crystal
Cl 0.617 0.330 0.116
K 0.390 0.640 0.279
Cl 0.198 0.261 0.319
Cl 0.002 0.214 0.884
Cl 0.379 0.943 0.681
K 0.610 0.360 0.721
Cl 0.383 0.670 0.884
Cl 0.998 0.786 0.116
Ce 0.759 0.009 0.017
Cl 0.621 0.057 0.319
Cl 0.802 0.739 0.681
Ce 0.241 0.991 0.983
CELL_PARAMETERS angstrom
-0.080 7.017 0.962
-7.885 -1.808 -0.492
3.777 -3.520 6.434
```

Summary:
Total moment   1.000 μB/f.u.
V   377.2 Å³/cell



Q: Which of them is the most stable? A: A.



--- A ---
KCeCl6 after structural relaxation, computed with GGA-PBE. Values from VASP.

Geometry as Quantum ESPRESSO input:
```
&SYSTEM
  ibrav = 0, nat = 8, ntyp = 3
/
ATOMIC_SPECIES
Cl 35.45 Cl.upf
Ce 140.12 Ce.upf
K 39.10 K.upf
ATOMIC_POSITIONS crystal
Cl 0.232 0.034 0.360
Ce 0.000 0.021 0.021
K 0.500 0.021 0.021
Cl 0.232 0.681 0.008
Cl 0.768 0.360 0.034
Cl 0.858 0.749 0.293
Cl 0.142 0.293 0.749
Cl 0.768 0.008 0.681
CELL_PARAMETERS angstrom
8.232 0.947 -0.586
0.517 5.727 2.285
-0.478 -0.871 6.108
```

Summary:
Total moment   0.925 μB/f.u.
V   299.0 Å³/cell



--- B ---
KCeCl6 after structural relaxation, computed with GGA-PBE. Values from VASP.

Geometry as Quantum ESPRESSO input:
```
&SYSTEM
  ibrav = 0, nat = 8, ntyp = 3
/
ATOMIC_SPECIES
K 39.10 K.upf
Cl 35.45 Cl.upf
Ce 140.12 Ce.upf
ATOMIC_POSITIONS crystal
K 0.500 0.500 0.500
Cl 0.909 0.909 0.761
Ce 0.000 0.000 0.000
Cl 0.909 0.421 0.761
Cl 0.579 0.091 0.239
Cl 0.091 0.091 0.239
Cl 0.421 0.909 0.761
Cl 0.091 0.579 0.239
CELL_PARAMETERS angstrom
-3.935 -5.862 -0.006
2.605 -5.998 -2.663
1.960 -5.573 5.110
```

Summary:
Total moment   0.804 μB/f.u.
V   287.7 Å³/cell



Q: Which of them is the most stable? A: A.



--- A ---
K2LiCeCl6 after structural relaxation, computed with GGA-PBE. Values from VASP.

Geometry as Quantum ESPRESSO input:
```
&SYSTEM
  ibrav = 0, nat = 10, ntyp = 4
/
ATOMIC_SPECIES
Cl 35.45 Cl.upf
K 39.10 K.upf
Ce 140.12 Ce.upf
Li 6.94 Li.upf
ATOMIC_POSITIONS crystal
Cl 0.742 0.258 0.742
K 0.250 0.250 0.250
Cl 0.258 0.742 0.258
Cl 0.742 0.742 0.258
Ce 0.000 0.000 0.000
K 0.750 0.750 0.750
Cl 0.742 0.258 0.258
Cl 0.258 0.742 0.742
Li 0.500 0.500 0.500
Cl 0.258 0.258 0.742
CELL_PARAMETERS angstrom
-5.566 1.413 -4.809
-4.788 -5.440 -1.890
-7.081 0.232 2.430
```

Summary:
Total moment   1.000 μB/f.u.
V   297.1 Å³/cell



--- B ---
K2LiCeCl6 after structural relaxation, computed with GGA-PBE. Values from VASP.

Geometry as Quantum ESPRESSO input:
```
&SYSTEM
  ibrav = 0, nat = 20, ntyp = 4
/
ATOMIC_SPECIES
Cl 35.45 Cl.upf
Ce 140.12 Ce.upf
K 39.10 K.upf
Li 6.94 Li.upf
ATOMIC_POSITIONS crystal
Cl 0.804 0.793 0.548
Cl 0.304 0.707 0.048
Cl 0.409 0.976 0.758
Ce 0.000 0.500 0.000
Cl 0.795 0.800 0.954
Cl 0.705 0.300 0.546
Cl 0.909 0.524 0.258
K 0.481 0.437 0.248
K 0.519 0.563 0.752
Cl 0.591 0.024 0.242
K 0.981 0.063 0.748
Cl 0.196 0.207 0.452
K 0.019 0.937 0.252
Cl 0.295 0.700 0.454
Cl 0.205 0.200 0.046
Cl 0.696 0.293 0.952
Li 0.000 0.500 0.500
Cl 0.091 0.476 0.742
Ce 0.500 0.000 0.500
Li 0.500 0.000 0.000
CELL_PARAMETERS angstrom
7.290 0.000 0.015
0.000 7.571 0.000
0.088 0.000 10.399
```

Summary:
Total moment   1.000 μB/f.u.
V   573.9 Å³/cell



Q: Which of them is the most stable? A: B.